An optimized crystal structure of LaPr2Al, computed with PBE-GGA.

Computed properties:
Polymorph energy (0 for the lowest one) in eV per atom: 0.226
Size of the total moment in μB/f.u.: 0.00
Formation energy from the elements in eV/atom: 0.045
E in eV per atom: -4.512

Geometry as CIF:
```
data_LaPr2Al
_symmetry_space_group_name_H-M 'P 1'
_symmetry_Int_Tables_number 1
_cell_length_a 5.2760
_cell_length_b 5.2760
_cell_length_c 16.7612
_cell_angle_alpha 90.00
_cell_angle_beta 90.00
_cell_angle_gamma 120.00
loop_
_symmetry_equiv_pos_as_xyz
'x,y,z'
loop_
_atom_site_label
_atom_site_fract_x
_atom_site_fract_y
_atom_site_fract_z
La1 0.0000 0.0000 0.0000
La2 0.3333 0.6667 0.6667
La3 0.6667 0.3333 0.3333
Pr1 0.0000 0.0000 0.5537
Pr2 0.0000 0.0000 0.7839
Pr3 0.3333 0.6667 0.2204
Pr4 0.3333 0.6667 0.4506
Pr5 0.6667 0.3333 0.1172
Pr6 0.6667 0.3333 0.8870
Al1 0.0000 0.0000 0.2027
Al2 0.3333 0.6667 0.8693
Al3 0.6667 0.3333 0.5360
```